DFT (PBE) results for an optimized crystal structure of Lu3SiN2.

Cell lengths 3.374, 3.374, 19.321 Å; angles 90.00, 90.00, 120.00 degrees
Fractional positions:
N: 0.333 0.667 0.072
N: 0.667 0.333 0.928
N: 0.333 0.667 0.428
N: 0.667 0.333 0.572
Lu: 0.667 0.333 0.137
Lu: 0.000 0.000 0.000
Lu: 0.667 0.333 0.363
Lu: 0.333 0.667 0.637
Lu: 0.333 0.667 0.863
Lu: 0.000 0.000 0.500
Si: 0.000 0.000 0.750
Si: 0.000 0.000 0.250

Computed properties:
The calculation puts the total DFT energy (no corrections) at -88.08 eV per cell.

***

DFT (PBE) results for an optimized crystal structure of Lu4SiSnN2.

Cell lengths 3.413, 3.413, 14.403 Å; angles 90.00, 90.00, 120.00 degrees
Fractional positions:
Lu: 0.333 0.667 0.149
Lu: 0.333 0.667 0.851
Lu: 0.000 0.000 0.672
Lu: 0.000 0.000 0.328
Si: 0.000 0.000 0.000
Sn: 0.333 0.667 0.500
N: 0.667 0.333 0.759
N: 0.667 0.333 0.241

Computed properties:
The calculation puts the total DFT energy (no corrections) at -53.53 eV per cell.

***

DFT (PBE) results for an optimized crystal structure of Lu4TlSiN2.

Cell lengths 3.417, 3.417, 14.550 Å; angles 90.00, 90.00, 120.00 degrees
Fractional positions:
N: 0.333 0.667 0.239
N: 0.333 0.667 0.761
Lu: 0.000 0.000 0.325
Lu: 0.000 0.000 0.675
Lu: 0.667 0.333 0.853
Lu: 0.667 0.333 0.147
Si: 0.000 0.000 0.000
Tl: 0.667 0.333 0.500

Computed properties:
The calculation puts the total DFT energy (no corrections) at -51.25 eV per cell.

***

DFT (PBE) results for an optimized crystal structure of Y2Lu4Si3N3.

Cell lengths 5.981, 5.981, 14.334 Å; angles 102.20, 102.20, 59.54 degrees
Fractional positions:
Si: 0.794 0.553 0.751
Si: 0.553 0.794 0.251
Si: 0.206 0.447 0.249
Si: 0.447 0.206 0.749
Si: 0.058 0.942 0.250
Si: 0.942 0.058 0.750
Y: 0.463 0.631 0.895
Y: 0.369 0.537 0.605
Y: 0.631 0.463 0.395
Y: 0.537 0.369 0.105
Lu: 0.145 0.305 0.909
Lu: 0.199 0.032 0.090
Lu: 0.968 0.801 0.410
Lu: 0.305 0.145 0.409
Lu: 0.855 0.695 0.091
Lu: 0.695 0.855 0.591
Lu: 0.801 0.968 0.910
Lu: 0.032 0.199 0.590
N: 0.500 0.000 0.000
N: 0.163 0.668 0.999
N: 0.837 0.332 0.001
N: 0.668 0.163 0.499
N: 0.000 0.500 0.500
N: 0.332 0.837 0.501

Computed properties:
The calculation puts the total DFT energy (no corrections) at -171.80 eV per cell.

***

DFT (PBE) results for an optimized crystal structure of Lu4Zr2Si3N3.

Cell lengths 5.797, 5.797, 14.151 Å; angles 101.78, 101.78, 60.07 degrees
Fractional positions:
Si: 0.152 0.848 0.750
Si: 0.848 0.152 0.250
Si: 0.417 0.318 0.750
Si: 0.318 0.417 0.250
Si: 0.682 0.583 0.750
Si: 0.583 0.682 0.250
Lu: 0.301 0.131 0.401
Lu: 0.804 0.964 0.901
Lu: 0.131 0.301 0.901
Lu: 0.196 0.036 0.099
Lu: 0.699 0.869 0.599
Lu: 0.964 0.804 0.401
Lu: 0.036 0.196 0.599
Lu: 0.869 0.699 0.099
N: 0.000 0.500 0.500
N: 0.329 0.841 0.500
N: 0.671 0.159 0.500
N: 0.159 0.671 0.000
N: 0.500 0.000 0.000
N: 0.841 0.329 0.000
Zr: 0.527 0.359 0.082
Zr: 0.641 0.473 0.418
Zr: 0.473 0.641 0.918
Zr: 0.359 0.527 0.582

Computed properties:
The calculation puts the total DFT energy (no corrections) at -180.72 eV per cell.

***

DFT (PBE) results for an optimized crystal structure of Lu4SnN3.

Cell lengths 3.391, 3.391, 25.819 Å; angles 90.00, 90.00, 120.00 degrees
Fractional positions:
N: 0.667 0.333 0.108
N: 0.000 0.000 0.500
N: 0.667 0.333 0.392
N: 0.333 0.667 0.608
N: 0.333 0.667 0.892
N: 0.000 0.000 0.000
Sn: 0.667 0.333 0.750
Sn: 0.333 0.667 0.250
Lu: 0.000 0.000 0.654
Lu: 0.333 0.667 0.449
Lu: 0.000 0.000 0.346
Lu: 0.333 0.667 0.051
Lu: 0.667 0.333 0.551
Lu: 0.667 0.333 0.949
Lu: 0.000 0.000 0.846
Lu: 0.000 0.000 0.154

Computed properties:
The calculation puts the total DFT energy (no corrections) at -119.14 eV per cell.